Ac2LaTbSe5 (PBE, optimized geometry); energy relative to the elements, uncorrected = -1.84 eV/atom; crystal system = orthorhombic
1.0
2.1296 -9.0386 0.0000
2.1296 9.0386 0.0000
0.0000 0.0000 14.3672
Ac La Tb Se
4 2 2 10
Direct
0.0842 0.9158 0.5000
0.1378 0.8622 0.1617
0.8622 0.1378 0.6617
0.9158 0.0842 0.0000
0.4479 0.5521 0.3072
0.5521 0.4479 0.8072
0.2308 0.7692 0.8940
0.7692 0.2308 0.3940
0.0801 0.9199 0.9443
0.2560 0.7440 0.5382
0.2914 0.7086 0.2589
0.3838 0.6162 0.8404
0.4952 0.5048 0.6195
0.5048 0.4952 0.1195
0.6162 0.3838 0.3404
0.7086 0.2914 0.7589
0.7440 0.2560 0.0382
0.9199 0.0801 0.4443

---

BaCu2Ag2 (PBE, optimized geometry); energy relative to the lowest polymorph listed for this composition = 0.210 eV/atom; crystal system = tetragonal; energy of formation = 0.177 eV per atom
1.0
8.0706 0.0000 0.0000
0.0000 8.0706 0.0000
0.0000 0.0000 3.1538
Ba Cu Ag
2 4 4
Direct
0.0000 0.0000 0.0000
0.5000 0.5000 0.0000
0.1624 0.3376 0.5000
0.3376 0.8376 0.5000
0.6624 0.1624 0.5000
0.8376 0.6624 0.5000
0.1248 0.6248 0.0000
0.3752 0.1248 0.0000
0.6248 0.8752 0.0000
0.8752 0.3752 0.0000